First-principles (PBE) data for a geometry-optimized CaGaP2S8 structure, as listed in Alexandria.

Cell lengths 5.9199, 5.9199, 8.5036 Å; angles 90.00, 90.00, 120.00 degrees
Space group P-3 (No. 147)
Unique sites:
Ca1 0.0000 0.0000 0.0000 x1
Ga1 0.0000 0.0000 0.5000 x1
P1 0.3333 0.6667 0.7490 x2
S1 0.0048 0.3169 0.6913 x6
S2 0.3333 0.6667 0.9887 x2

Values from the calculation:
Raw formation energy (eV per formula unit): -5.20
DOS at the Fermi energy (states/eV/cell): 10.987
E_tot (eV/atom): -4.505